# 1
An optimized crystal structure of CsAsSeBr2, computed with PBE-GGA.

Cell: 6.4715 6.4715 5.9113 Å, 90.00 90.00 90.00°
Each line ends with the local moment (μB).
Fractional positions:
Br  0.5000  0.0000  0.0000  -0.07
Br  0.0000  0.5000  0.0000  -0.07
Se  0.0000  0.0000  0.5000  -0.10
Cs  0.0000  0.0000  0.0000  -0.01
As  0.5000  0.5000  0.5000  0.19

The energy above the most stable polymorph in this dataset comes out at 34.418 kcal/mol of atoms. The total energy is -8.34 eV/f.u. Its space-group type is P4/mmm.

=====

# 2
An optimized crystal structure of CsAsSeBr2, computed with PBE-GGA.

Cell: 5.6834 5.6834 5.0325 Å, 90.00 90.00 90.00°
Fractional positions:
Br  0.5000  0.0000  0.0000
Br  0.0000  0.5000  0.0000
Cs  0.5000  0.5000  0.5000
Se  0.0000  0.0000  0.5000
As  0.0000  0.0000  0.0000

The energy above the most stable polymorph in this dataset comes out at 0.000 kcal/mol of atoms. The total energy is -15.80 eV/f.u. Its space-group type is P4/mmm.